VASP calculation (PBE) on a relaxed CsYMo crystal.

a b c (Å): 3.962 5.244 9.066
angles (deg): 90.00 90.47 90.00
Fractional positions:
Cs  0.000  0.000  0.000
Cs  0.500  0.500  0.000
Y  0.004  0.000  0.554
Y  0.504  0.500  0.554
Mo  0.001  0.500  0.335
Mo  0.501  0.000  0.335

Summary:
For the total magnetization, the calculation gives 0.00 μB per cell. The polymorph energy (0 for the lowest one) comes out at 694.8 meV per atom. The energy is -4.940 eV per atom. For the energy of formation from the pure elements, the calculation gives 1.110 eV per atom. The space group is Cm. As for the density: 5.6 g cm⁻³.